# 1
The following is a PBE-GGA calculation of a relaxed GdDy2Ir crystal, from the Alexandria database.

Cell: 3.497 3.497 8.783 Å, 90.00 90.00 90.00°
Space group P4/mmm (No. 123)
Symmetry-distinct sites (fractional):
Gd: 0.000 0.000 0.000 (multiplicity 1)
Dy: 0.500 0.500 0.316 (multiplicity 2)
Ir: 0.000 0.000 0.500 (multiplicity 1)

Summary:
Total DFT energy (no corrections) (eV/atom): -8.4426
ΔE_f (meV per atom): -406
Fermi-level density of states (states/eV/cell): 5.4
Polymorph energy (0 for the lowest one) (kJ/mol of formula units): 0

---

# 2
The following is a PBE-GGA calculation of a relaxed LaTmS2O crystal, from the Alexandria database.

Cell: 3.958 3.958 13.924 Å, 90.00 90.00 90.00°
Space group P4/nmm (No. 129, origin choice 2)
Symmetry-distinct sites (fractional):
La: 0.250 0.250 0.092 (multiplicity 2)
Tm: 0.250 0.250 0.618 (multiplicity 2)
S: 0.250 0.250 0.411 (multiplicity 2)
S: 0.250 0.250 0.794 (multiplicity 2)
O: 0.250 0.750 0.000 (multiplicity 2)

Summary:
Total DFT energy (no corrections) (eV/atom): -7.0780
E_form (uncorrected) (meV per atom): -2556
Fermi-level density of states (states/eV/cell): 1.3

---

# 3
The following is a PBE-GGA calculation of a relaxed HfCoTc2B crystal, from the Alexandria database.

Cell: 4.199 4.199 3.849 Å, 90.00 90.00 90.00°
Space group P4/mmm (No. 123)
Symmetry-distinct sites (fractional):
Hf: 0.000 0.000 0.000 (multiplicity 1)
Co: 0.500 0.500 0.000 (multiplicity 1)
Tc: 0.000 0.500 0.500 (multiplicity 2)
B: 0.500 0.500 0.500 (multiplicity 1)

Summary:
Total DFT energy (no corrections) (eV/atom): -9.1789
ΔE_f (meV per atom): -285
Fermi-level density of states (states/eV/cell): 7.2

---

# 4
The following is a PBE-GGA calculation of a relaxed BeGeSO2 crystal, from the Alexandria database.

Cell: 3.368 3.368 6.087 Å, 90.00 90.00 90.00°
Space group P4/mmm (No. 123)
Symmetry-distinct sites (fractional):
Be: 0.000 0.000 0.000 (multiplicity 1)
Ge: 0.000 0.000 0.500 (multiplicity 1)
S: 0.500 0.500 0.500 (multiplicity 1)
O: 0.000 0.500 0.000 (multiplicity 2)

Summary:
Total DFT energy (no corrections) (eV/atom): -4.8566
E_form (uncorrected) (meV per atom): -379
Fermi-level density of states (states/eV/cell): 2.3

---

# 5
The following is a PBE-GGA calculation of a relaxed CeDyTmLu crystal, from the Alexandria database.

Cell: 7.902 7.902 7.902 Å, 90.00 90.00 90.00°
Space group F-43m (No. 216)
Symmetry-distinct sites (fractional):
Ce: 0.000 0.000 0.000 (multiplicity 4)
Dy: 0.000 0.000 0.500 (multiplicity 4)
Tm: 0.250 0.250 0.750 (multiplicity 4)
Lu: 0.250 0.250 0.250 (multiplicity 4)

Summary:
Total DFT energy (no corrections) (eV/atom): -4.7477
ΔE_f (meV per atom): 134
Fermi-level density of states (states/eV/cell): 31.5

---

# 6
The following is a PBE-GGA calculation of a relaxed CdInRu crystal, from the Alexandria database.

Cell: 3.318 3.318 10.287 Å, 90.00 90.00 90.00°
Space group I4mm (No. 107)
Symmetry-distinct sites (fractional):
Cd: 0.000 0.000 0.000 (multiplicity 2)
In: 0.000 0.000 0.702 (multiplicity 2)
Ru: 0.000 0.000 0.340 (multiplicity 2)

Summary:
Total DFT energy (no corrections) (eV/atom): -4.1086
ΔE_f (meV per atom): 201
Fermi-level density of states (states/eV/cell): 4.1

---

# 7
The following is a PBE-GGA calculation of a relaxed SiAsCl crystal, from the Alexandria database.

Cell: 3.365 5.596 13.805 Å, 90.00 90.00 90.00°
Space group Fmm2 (No. 42)
Symmetry-distinct sites (fractional):
Si: 0.000 0.000 0.000 (multiplicity 4)
As: 0.000 0.000 0.626 (multiplicity 4)
Cl: 0.000 0.000 0.365 (multiplicity 4)

Summary:
Total DFT energy (no corrections) (eV/atom): -3.7576
E_form (uncorrected) (meV per atom): 215
Fermi-level density of states (states/eV/cell): 4.5
Polymorph energy (0 for the lowest one) (kJ/mol of formula units): 213

---

# 8
The following is a PBE-GGA calculation of a relaxed Pm3NdZn8 crystal, from the Alexandria database.

Cell: 5.6798 5.6798 8.7201 Å, 90.00 90.00 120.00°
Space group P3m1 (No. 156)
Symmetry-distinct sites (fractional):
Pm: 0.0000 0.0000 0.0000 (multiplicity 1)
Pm: 0.0000 0.0000 0.3938 (multiplicity 1)
Pm: 0.3333 0.6667 0.8939 (multiplicity 1)
Nd: 0.3333 0.6667 0.4987 (multiplicity 1)
Zn: 0.3369 0.1685 0.6972 (multiplicity 3)
Zn: 0.5025 0.0049 0.1957 (multiplicity 3)
Zn: 0.6667 0.3333 0.4469 (multiplicity 1)
Zn: 0.6667 0.3333 0.9460 (multiplicity 1)

Summary:
Total DFT energy (no corrections) (eV/atom): -2.7414
ΔE_f (meV per atom): -307
Fermi-level density of states (states/eV/cell): 7.0
Polymorph energy (0 for the lowest one) (kJ/mol of formula units): 20

---

# 9
The following is a PBE-GGA calculation of a relaxed Re3P crystal, from the Alexandria database.

Cell: 2.943 3.101 6.786 Å, 90.00 90.00 90.00°
Space group Pmm2 (No. 25)
Symmetry-distinct sites (fractional):
Re: 0.000 0.000 0.000 (multiplicity 1)
Re: 0.000 0.500 0.440 (multiplicity 1)
Re: 0.500 0.500 0.777 (multiplicity 1)
P: 0.500 0.000 0.288 (multiplicity 1)

Summary:
Total DFT energy (no corrections) (eV/atom): -10.5949
ΔE_f (meV per atom): 94
Fermi-level density of states (states/eV/cell): 2.1
Polymorph energy (0 for the lowest one) (kJ/mol of formula units): 83

---

# 10
The following is a PBE-GGA calculation of a relaxed SiTeAu2 crystal, from the Alexandria database.

Cell: 6.904 6.904 6.904 Å, 90.00 90.00 90.00°
Space group Fm-3m (No. 225)
Symmetry-distinct sites (fractional):
Si: 0.000 0.000 0.000 (multiplicity 4)
Te: 0.000 0.000 0.500 (multiplicity 4)
Au: 0.250 0.250 0.250 (multiplicity 8)

Summary:
Total DFT energy (no corrections) (eV/atom): -3.3968
E_form (uncorrected) (meV per atom): 383
Fermi-level density of states (states/eV/cell): 2.3
Polymorph energy (0 for the lowest one) (kJ/mol of formula units): 126

---

# 11
The following is a PBE-GGA calculation of a relaxed HoTlGeTe3 crystal, from the Alexandria database.

Cell: 8.948 4.263 11.561 Å, 90.00 107.57 90.00°
Space group P2_1/m (No. 11)
Symmetry-distinct sites (fractional):
Ho: 0.140 0.250 0.160 (multiplicity 2)
Tl: 0.257 0.750 0.715 (multiplicity 2)
Ge: 0.378 0.750 0.446 (multiplicity 2)
Te: 0.119 0.250 0.891 (multiplicity 2)
Te: 0.162 0.250 0.432 (multiplicity 2)
Te: 0.401 0.750 0.217 (multiplicity 2)

Summary:
Total DFT energy (no corrections) (eV/atom): -4.2019
E_form (uncorrected) (meV per atom): -704

---

Which value of total DFT energy (no corrections) does entry 11 give? -4.2019 eV/atom